No. 1
The following is a GGA-PBE calculation of a relaxed structure of La2TbNdSm2, from the Alexandria database.

a b c (Å): 6.7437 18.3045 3.4622
angles (deg): 90.00 90.00 90.00
Last column: nearest neighbours and their distance in Å.
Positions (direct):
La 0.2273 0.1852 0.0000  4 Sm 3.43-3.54, 2 La 3.46, 1 Tb 3.72
La 0.2727 0.6852 0.5000  4 Sm 3.43-3.54, 2 La 3.46, 1 Tb 3.72
La 0.7273 0.3148 0.5000  4 Sm 3.43-3.54, 2 La 3.46, 1 Tb 3.72
La 0.7727 0.8148 0.0000  4 Sm 3.43-3.54, 2 La 3.46, 1 Tb 3.72
Tb 0.0000 0.0000 0.0000  2 Sm 3.25, 2 Tb 3.46
Tb 0.5000 0.5000 0.5000  2 Sm 3.25, 2 Tb 3.46
Nd 0.0000 0.5000 0.0000  2 Nd 3.46, 4 Sm 3.52, 4 Tb 3.79
Nd 0.5000 0.0000 0.5000  2 Nd 3.46, 4 Sm 3.52, 4 Tb 3.79
Sm 0.2244 0.3542 0.5000  1 Tb 3.25, 4 La 3.43-3.54, 2 Sm 3.46, 2 Nd 3.52
Sm 0.2756 0.8542 0.0000  1 Tb 3.25, 4 La 3.43-3.54, 2 Sm 3.46, 2 Nd 3.52
Sm 0.7244 0.1458 0.0000  1 Tb 3.25, 4 La 3.43-3.54, 2 Sm 3.46, 2 Nd 3.52
Sm 0.7756 0.6458 0.5000  1 Tb 3.25, 4 La 3.43-3.54, 2 Sm 3.46, 2 Nd 3.52

---

No. 2
The following is a GGA-PBE calculation of a relaxed structure of La2TbNd3Sm6, from the Alexandria database.

a b c (Å): 6.3407 6.3407 12.1174
angles (deg): 95.02 95.02 120.00
Last column: nearest neighbours and their distance in Å.
Positions (direct):
La 0.1666 0.8334 0.0000  3 La 3.66, 3 Tb 3.66, 6 Sm 3.66-3.67
La 0.8334 0.1666 0.0000  3 La 3.66, 3 Tb 3.66, 6 Sm 3.66-3.67
Tb 0.5000 0.5000 0.0000  6 Sm 3.66, 6 La 3.66
Nd 0.0000 0.0000 0.5000  6 Sm 3.65, 6 Nd 3.66
Nd 0.3335 0.6665 0.5000  6 Sm 3.64-3.66, 6 Nd 3.66
Nd 0.6665 0.3335 0.5000  6 Sm 3.64-3.66, 6 Nd 3.66
Sm 0.0845 0.4166 0.7494  6 Sm 3.65-3.67, 3 Nd 3.65-3.66, 1 Tb 3.66, 2 La 3.66-3.67
Sm 0.2513 0.2513 0.2507  3 Nd 3.64-3.65, 6 Sm 3.65-3.67, 1 Tb 3.66, 2 La 3.66
Sm 0.4166 0.0845 0.7494  6 Sm 3.65-3.67, 3 Nd 3.65-3.66, 1 Tb 3.66, 2 La 3.66-3.67
Sm 0.5834 0.9155 0.2506  6 Sm 3.65-3.67, 3 Nd 3.65-3.66, 1 Tb 3.66, 2 La 3.66-3.67
Sm 0.7487 0.7487 0.7493  3 Nd 3.64-3.65, 6 Sm 3.65-3.67, 1 Tb 3.66, 2 La 3.66
Sm 0.9155 0.5834 0.2506  6 Sm 3.65-3.67, 3 Nd 3.65-3.66, 1 Tb 3.66, 2 La 3.66-3.67

---

No. 3
The following is a GGA-PBE calculation of a relaxed structure of La2Tb3Nd6Sm, from the Alexandria database.

a b c (Å): 6.3489 6.3489 12.1165
angles (deg): 95.03 95.03 120.03
Last column: nearest neighbours and their distance in Å.
Positions (direct):
La 0.1667 0.8333 0.0000  3 La 3.66-3.67, 3 Sm 3.66-3.67, 6 Nd 3.70
La 0.8333 0.1667 0.0000  3 La 3.66-3.67, 3 Sm 3.66-3.67, 6 Nd 3.70
Tb 0.0000 0.0000 0.5000  6 Nd 3.61-3.62, 6 Tb 3.66-3.67
Tb 0.3336 0.6664 0.5000  6 Nd 3.61, 6 Tb 3.66-3.67
Tb 0.6664 0.3336 0.5000  6 Nd 3.61, 6 Tb 3.66-3.67
Nd 0.0821 0.4147 0.7453  3 Tb 3.61, 6 Nd 3.66-3.67, 1 Sm 3.70, 2 La 3.70
Nd 0.2525 0.2525 0.2547  3 Tb 3.61-3.62, 6 Nd 3.66-3.67, 1 Sm 3.70, 2 La 3.70
Nd 0.4147 0.0821 0.7453  3 Tb 3.61, 6 Nd 3.66-3.67, 1 Sm 3.70, 2 La 3.70
Nd 0.5853 0.9179 0.2547  3 Tb 3.61, 6 Nd 3.66-3.67, 1 Sm 3.70, 2 La 3.70
Nd 0.7475 0.7475 0.7453  3 Tb 3.61-3.62, 6 Nd 3.66-3.67, 1 Sm 3.70, 2 La 3.70
Nd 0.9179 0.5853 0.2547  3 Tb 3.61, 6 Nd 3.66-3.67, 1 Sm 3.70, 2 La 3.70
Sm 0.5000 0.5000 0.0000  6 La 3.66-3.67, 6 Nd 3.70

---

No. 4
The following is a GGA-PBE calculation of a relaxed structure of LaTb2NdSm6, from the Alexandria database.

a b c (Å): 8.9487 8.9487 9.7914
angles (deg): 94.00 94.00 117.62
Last column: nearest neighbours and their distance in Å.
Positions (direct):
La 0.0944 0.9056 0.7500  6 Sm 3.51-3.63, 2 Tb 3.63
La 0.9056 0.0944 0.2500  6 Sm 3.51-3.63, 2 Tb 3.63
Tb 0.2054 0.3050 0.9540  6 Sm 3.36-3.66, 2 Nd 3.44-3.45, 1 La 3.63
Tb 0.3050 0.2054 0.4540  6 Sm 3.36-3.66, 2 Nd 3.44-3.45, 1 La 3.63
Tb 0.6950 0.7946 0.5460  6 Sm 3.36-3.66, 2 Nd 3.44-3.45, 1 La 3.63
Tb 0.7946 0.6950 0.0460  6 Sm 3.36-3.66, 2 Nd 3.44-3.45, 1 La 3.63
Nd 0.4709 0.5291 0.2500  4 Tb 3.44-3.45, 4 Sm 3.60-3.73
Nd 0.5291 0.4709 0.7500  4 Tb 3.44-3.45, 4 Sm 3.60-3.73
Sm 0.0105 0.7947 0.3792  3 Sm 3.26-3.44, 3 Tb 3.36-3.51, 2 La 3.51-3.63
Sm 0.0677 0.5232 0.1796  2 Sm 3.26-3.57, 1 Tb 3.50, 1 La 3.56, 1 Nd 3.60
Sm 0.2053 0.9895 0.1208  3 Sm 3.26-3.44, 3 Tb 3.36-3.51, 2 La 3.51-3.63
Sm 0.2540 0.6135 0.5566  7 Sm 3.44-3.83, 1 Tb 3.52, 1 Nd 3.73
Sm 0.3865 0.7460 0.9434  7 Sm 3.44-3.83, 1 Tb 3.52, 1 Nd 3.73
Sm 0.4768 0.9323 0.3204  2 Sm 3.26-3.57, 1 Tb 3.50, 1 La 3.56, 1 Nd 3.60
Sm 0.5232 0.0677 0.6796  2 Sm 3.26-3.57, 1 Tb 3.50, 1 La 3.56, 1 Nd 3.60
Sm 0.6135 0.2540 0.0566  7 Sm 3.44-3.83, 1 Tb 3.52, 1 Nd 3.73
Sm 0.7460 0.3865 0.4434  7 Sm 3.44-3.83, 1 Tb 3.52, 1 Nd 3.73
Sm 0.7947 0.0105 0.8792  3 Sm 3.26-3.44, 3 Tb 3.36-3.51, 2 La 3.51-3.63
Sm 0.9323 0.4768 0.8204  2 Sm 3.26-3.57, 1 Tb 3.50, 1 La 3.56, 1 Nd 3.60
Sm 0.9895 0.2053 0.6208  3 Sm 3.26-3.44, 3 Tb 3.36-3.51, 2 La 3.51-3.63

---

No. 5
The following is a GGA-PBE calculation of a relaxed structure of La4TbNdSm2, from the Alexandria database.

a b c (Å): 5.2346 5.2697 10.2369
angles (deg): 90.00 90.06 90.00
Last column: nearest neighbours and their distance in Å.
Positions (direct):
La 0.0004 0.0000 0.2481  4 Sm 3.65-3.69, 2 Tb 3.66, 2 Nd 3.67-3.68, 4 La 3.71
La 0.9996 0.0000 0.7519  4 Sm 3.65-3.69, 2 Tb 3.66, 2 Nd 3.67-3.68, 4 La 3.71
La 0.5003 0.5000 0.2483  2 Tb 3.65, 4 Sm 3.66-3.68, 2 Nd 3.69, 4 La 3.71
La 0.4997 0.5000 0.7517  2 Tb 3.65, 4 Sm 3.66-3.68, 2 Nd 3.69, 4 La 3.71
Tb 0.0000 0.5000 0.0000  8 La 3.65-3.66, 4 Sm 3.71
Nd 0.5000 0.0000 0.5000  8 La 3.67-3.69, 4 Sm 3.71
Sm 0.0000 0.5000 0.5000  8 La 3.67-3.69, 4 Nd 3.71
Sm 0.5000 0.0000 0.0000  8 La 3.65-3.66, 4 Tb 3.71

---

No. 6
The following is a GGA-PBE calculation of a relaxed structure of LaTbNd2Sm, from the Alexandria database.

a b c (Å): 8.5389 6.6300 6.3456
angles (deg): 90.00 95.69 90.00
Last column: nearest neighbours and their distance in Å.
Positions (direct):
La 0.0000 0.0000 0.0000  2 La 3.17, 2 Sm 3.29, 2 Nd 3.54
La 0.0000 0.0000 0.5000  2 La 3.17, 2 Sm 3.29, 2 Nd 3.54
Tb 0.5000 0.1642 0.2500  8 Nd 3.54-3.83, 2 Tb 3.85
Tb 0.5000 0.8358 0.7500  8 Nd 3.54-3.83, 2 Tb 3.85
Nd 0.3112 0.3118 0.7166  1 Sm 3.17, 1 Nd 3.21, 1 La 3.54, 1 Tb 3.54
Nd 0.3112 0.6882 0.2166  1 Sm 3.17, 1 Nd 3.21, 1 La 3.54, 1 Tb 3.54
Nd 0.6888 0.3118 0.7834  1 Sm 3.17, 1 Nd 3.21, 1 La 3.54, 1 Tb 3.54
Nd 0.6888 0.6882 0.2834  1 Sm 3.17, 1 Nd 3.21, 1 La 3.54, 1 Tb 3.54
Sm 0.0000 0.4348 0.2500  2 Nd 3.17, 2 Sm 3.29, 2 La 3.29
Sm 0.0000 0.5652 0.7500  2 Nd 3.17, 2 Sm 3.29, 2 La 3.29

---

No. 7
The following is a GGA-PBE calculation of a relaxed structure of La6Tb2NdSm, from the Alexandria database.

a b c (Å): 9.1550 9.1550 9.2648
angles (deg): 90.25 90.25 114.54
Last column: nearest neighbours and their distance in Å.
Positions (direct):
La 0.0326 0.4704 0.6801  3 La 3.42-3.47, 1 Nd 3.43, 1 Sm 3.43, 2 Tb 3.51-3.77
La 0.0695 0.7808 0.9049  3 La 3.24-3.46, 1 Nd 3.46, 1 Tb 3.57
La 0.2192 0.9305 0.5951  3 La 3.24-3.46, 1 Nd 3.46, 1 Tb 3.57
La 0.2791 0.5705 0.0921  3 La 3.27-3.46, 1 Sm 3.47, 1 Tb 3.57
La 0.4295 0.7209 0.4079  3 La 3.27-3.46, 1 Sm 3.47, 1 Tb 3.57
La 0.4704 0.0326 0.1801  3 La 3.42-3.47, 1 Nd 3.43, 1 Sm 3.43, 2 Tb 3.51-3.77
La 0.5296 0.9674 0.8199  3 La 3.42-3.47, 1 Nd 3.43, 1 Sm 3.43, 2 Tb 3.51-3.77
La 0.5705 0.2791 0.5921  3 La 3.27-3.46, 1 Sm 3.47, 1 Tb 3.57
La 0.7209 0.4295 0.9079  3 La 3.27-3.46, 1 Sm 3.47, 1 Tb 3.57
La 0.7808 0.0695 0.4049  3 La 3.24-3.46, 1 Nd 3.46, 1 Tb 3.57
La 0.9305 0.2192 0.0951  3 La 3.24-3.46, 1 Nd 3.46, 1 Tb 3.57
La 0.9674 0.5296 0.3199  3 La 3.42-3.47, 1 Nd 3.43, 1 Sm 3.43, 2 Tb 3.51-3.77
Tb 0.2048 0.2968 0.4331  2 Sm 3.49-3.84, 2 Nd 3.51-3.88, 7 La 3.51-3.88
Tb 0.2968 0.2048 0.9331  2 Sm 3.49-3.84, 2 Nd 3.51-3.88, 7 La 3.51-3.88
Tb 0.7032 0.7952 0.0669  2 Sm 3.49-3.84, 2 Nd 3.51-3.88, 7 La 3.51-3.88
Tb 0.7952 0.7032 0.5669  2 Sm 3.49-3.84, 2 Nd 3.51-3.88, 7 La 3.51-3.88
Nd 0.0722 0.9278 0.2500  6 La 3.43-3.71, 2 Tb 3.51
Nd 0.9278 0.0722 0.7500  6 La 3.43-3.71, 2 Tb 3.51
Sm 0.4312 0.5688 0.7500  6 La 3.43-3.69, 4 Tb 3.49-3.84
Sm 0.5688 0.4312 0.2500  6 La 3.43-3.69, 4 Tb 3.49-3.84

---

No. 8
The following is a GGA-PBE calculation of a relaxed structure of LaTb2Nd4Sm, from the Alexandria database.

a b c (Å): 6.3184 3.6650 12.1208
angles (deg): 90.00 100.24 90.00
Last column: nearest neighbours and their distance in Å.
Positions (direct):
La 0.0000 0.0000 0.0000  4 Sm 3.65, 2 La 3.66, 6 Nd 3.69-3.70
Tb 0.0000 0.5000 0.5000  6 Nd 3.62, 6 Tb 3.65-3.66
Tb 0.5000 0.0000 0.5000  6 Nd 3.61-3.63, 6 Tb 3.65-3.66
Nd 0.2487 0.0000 0.7467  3 Tb 3.62-3.63, 6 Nd 3.65-3.66, 2 Sm 3.68, 1 La 3.69
Nd 0.2519 0.5000 0.2544  3 Tb 3.61-3.62, 6 Nd 3.65-3.66, 2 La 3.70, 1 Sm 3.70
Nd 0.7481 0.5000 0.7456  3 Tb 3.61-3.62, 6 Nd 3.65-3.66, 2 La 3.70, 1 Sm 3.70
Nd 0.7513 0.0000 0.2533  3 Tb 3.62-3.63, 6 Nd 3.65-3.66, 2 Sm 3.68, 1 La 3.69
Sm 0.5000 0.5000 0.0000  4 La 3.65, 2 Sm 3.66, 6 Nd 3.68-3.70

---

No. 9
The following is a GGA-PBE calculation of a relaxed structure of LaTb2Nd5Sm, from the Alexandria database.

a b c (Å): 10.6184 10.6184 10.7452
angles (deg): 90.00 90.00 148.52
Last column: nearest neighbours and their distance in Å.
Positions (direct):
La 0.0840 0.9160 0.5000  5 Nd 3.12-3.37
La 0.9160 0.0840 0.0000  5 Nd 3.12-3.37
Tb 0.3836 0.6164 0.3729  8 Nd 3.36-3.62
Tb 0.3867 0.6133 0.7827  7 Nd 3.46-3.75, 1 Sm 3.48, 2 La 3.76
Tb 0.6133 0.3867 0.2827  7 Nd 3.46-3.75, 1 Sm 3.48, 2 La 3.76
Tb 0.6164 0.3836 0.8729  8 Nd 3.36-3.62
Nd 0.0214 0.9786 0.7905  2 La 3.12-3.37
Nd 0.1117 0.8883 0.0757  6 Nd 3.57-3.92, 4 Tb 3.61-3.64, 1 Sm 3.84
Nd 0.2040 0.7960 0.7558  3 Nd 3.48-3.75, 3 Sm 3.56-3.82, 3 Tb 3.62-3.75, 1 La 3.68
Nd 0.2195 0.7805 0.3634  1 La 3.13, 1 Tb 3.36, 2 Nd 3.48
Nd 0.4835 0.5165 0.0754  2 La 3.29, 2 Tb 3.46-3.48
Nd 0.5165 0.4835 0.5754  2 La 3.29, 2 Tb 3.46-3.48
Nd 0.7805 0.2195 0.8634  1 La 3.13, 1 Tb 3.36, 2 Nd 3.48
Nd 0.7960 0.2040 0.2558  3 Nd 3.48-3.75, 3 Sm 3.56-3.82, 3 Tb 3.62-3.75, 1 La 3.68
Nd 0.8883 0.1117 0.5757  6 Nd 3.57-3.92, 4 Tb 3.61-3.64, 1 Sm 3.84
Nd 0.9786 0.0214 0.2905  2 La 3.12-3.37
Sm 0.2995 0.7005 0.0614  2 Tb 3.48-3.76, 8 Nd 3.56-3.84, 2 La 3.79
Sm 0.7005 0.2995 0.5614  2 Tb 3.48-3.76, 8 Nd 3.56-3.84, 2 La 3.79

---

Computed size of the total moment, in the same sequence as the records: 0.00 0.00 0.00 0.00 0.00 0.00 0.00 0.00 0.00 Bohr magnetons per cell.
Computed ΔH_f (0 K), in the same sequence as the records: 1.41 0.18 0.21 1.18 0.12 1.31 1.04 0.14 1.29 eV/f.u..
Computed total DFT energy (no corrections), in the same sequence as the records: -54.56 -56.92 -56.86 -92.18 -38.42 -45.01 -94.54 -37.84 -82.91 eV per cell.